Record 1
Below is an optimized crystal structure of YP2RhCl, with properties calculated at the GGA-PBE level.

- Distance to the lowest polymorph of the same formula: 0.000 eV/atom
- E_form (uncorrected): -0.3011 eV/atom
- Magnetic moment: 0.0 μB/cell
- Density: 4.65 Mg/m³

a b c (Å): 4.602 4.602 4.881
angles (deg): 90.00 90.00 90.00
Space group P4/mmm (No. 123)
Inequivalent atoms, fractional coordinates:
Y1 0.000 0.000 0.000 x1
P1 0.000 0.500 0.500 x2
Rh1 0.500 0.500 0.500 x1
Cl1 0.500 0.500 0.000 x1

***

Record 2
Below is an optimized crystal structure of YP2RhCl, with properties calculated at the GGA-PBE level.

- Distance to the lowest polymorph of the same formula: 0.936 eV/atom
- E_form (uncorrected): 0.6353 eV/atom
- Magnetic moment: 1.2 μB/cell
- Density: 3.37 Mg/m³

a b c (Å): 5.318 5.318 5.038
angles (deg): 90.00 90.00 90.00
Space group P4/mmm (No. 123)
Inequivalent atoms, fractional coordinates:
Y1 0.000 0.000 0.000 x1
P1 0.000 0.500 0.000 x2
Rh1 0.500 0.500 0.500 x1
Cl1 0.000 0.000 0.500 x1

***

Record 3
Below is an optimized crystal structure of ZnP2RhCl, with properties calculated at the GGA-PBE level.

- Distance to the lowest polymorph of the same formula: 0.000 eV/atom
- E_form (uncorrected): 0.4028 eV/atom
- Magnetic moment: 0.0 μB/cell
- Density: 4.17 Mg/m³

a b c (Å): 4.554 4.554 5.102
angles (deg): 90.00 90.00 90.00
Space group P4/mmm (No. 123)
Inequivalent atoms, fractional coordinates:
Zn1 0.000 0.000 0.000 x1
P1 0.000 0.500 0.500 x2
Rh1 0.500 0.500 0.500 x1
Cl1 0.500 0.500 0.000 x1

***

Record 4
Below is an optimized crystal structure of ZnP2RhCl, with properties calculated at the GGA-PBE level.

- Distance to the lowest polymorph of the same formula: 0.587 eV/atom
- E_form (uncorrected): 0.9902 eV/atom
- Magnetic moment: 0.5 μB/cell
- Density: 4.49 Mg/m³

a b c (Å): 4.540 4.540 4.769
angles (deg): 90.00 90.00 90.00
Space group P4/mmm (No. 123)
Inequivalent atoms, fractional coordinates:
Zn1 0.000 0.000 0.000 x1
P1 0.000 0.500 0.000 x2
Rh1 0.500 0.500 0.500 x1
Cl1 0.000 0.000 0.500 x1